An optimized crystal structure of La2HfSi2. Source: OQMD via LeMat-Bulk, functional PBE.

Properties
Final energy (eV/atom): -6.684

Cell: 7.353 7.353 4.544 Å, 90.00 90.00 90.00°
Positions (direct):
Si 0.625 0.125 0.000
Si 0.375 0.875 0.000
Si 0.875 0.625 0.000
Si 0.125 0.375 0.000
Hf 0.500 0.500 0.000
Hf 0.000 0.000 0.000
La 0.324 0.176 0.500
La 0.824 0.324 0.500
La 0.676 0.824 0.500
La 0.176 0.676 0.500

An optimized crystal structure of Th2Ta. Source: OQMD via LeMat-Bulk, functional PBE.

Properties
ΔH_f (0 K) (eV per atom): 2.23
Final energy (eV/atom): -6.666

Cell: 8.595 8.595 8.595 Å, 60.00 60.00 60.00°
Each line ends with the local moment (μB).
Positions (direct):
Th 0.375 0.375 0.375  0.11
Th 0.375 0.875 0.375  0.12
Th 0.875 0.375 0.375  0.09
Th 0.375 0.375 0.875  0.12
Ta 0.250 0.250 0.250  0.05
Ta 0.500 0.500 0.500  0.05

An optimized crystal structure of NdGdAu2. Source: OQMD via LeMat-Bulk, functional PBE.

Properties
ΔH_f (0 K) (eV per atom): -0.83
Energy above the most stable polymorph in this dataset (eV/atom): 0.005
Final energy (eV/atom): -4.822

Cell: 4.735 5.902 5.902 Å, 37.64 90.00 90.00°
Positions (direct):
Gd 0.000 0.638 0.638
Nd 0.500 0.361 0.361
Au 0.500 0.088 0.088
Au 0.000 0.913 0.913

An optimized crystal structure of LiTlNiOs. Source: OQMD via LeMat-Bulk, functional PBE.

Properties
Final energy (eV/atom): -4.771

Cell: 4.339 4.339 4.339 Å, 60.00 60.00 60.00°
Positions (direct):
Ni 0.750 0.750 0.750
Tl 0.000 0.000 0.000
Os 0.500 0.500 0.500
Li 0.250 0.250 0.250